# 1
Below is an optimized crystal structure of SrLi2Rh, with properties calculated at the GGA-PBEsol level.

Cell lengths 3.551, 4.126, 6.374 Å; angles 90.00, 106.60, 90.00 degrees
Atoms (fractional coordinates):
Li (0.551, 0.500, 0.233)
Li (0.008, 0.000, 0.144)
Sr (0.275, 0.500, 0.667)
Rh (0.667, 0.000, 0.455)

Energy above the most stable polymorph in this dataset, eV/atom: 0.0521
E_form, kJ/mol of atoms: 3

# 2
Below is an optimized crystal structure of SrLiRh2, with properties calculated at the GGA-PBEsol level.

Cell lengths 2.983, 2.983, 8.885 Å; angles 80.34, 80.34, 60.00 degrees
Atoms (fractional coordinates):
Rh (0.257, 0.257, 0.228)
Sr (0.500, 0.500, 0.500)
Rh (0.743, 0.743, 0.772)
Li (0.000, 0.000, 0.000)

E_form, kJ/mol of atoms: 36

# 3
Below is an optimized crystal structure of Sr2LiRhW, with properties calculated at the GGA-PBEsol level.

Cell lengths 4.717, 5.815, 5.815 Å; angles 90.00, 90.00, 90.00 degrees
Atoms (fractional coordinates):
Sr (0.000, 0.500, 0.000)
Rh (0.000, 0.000, 0.000)
Sr (0.000, 0.000, 0.500)
Li (0.500, 0.500, 0.500)
W (0.500, 0.000, 0.000)

E_form, kJ/mol of atoms: 67

# 4
Below is an optimized crystal structure of Li2TaRh, with properties calculated at the GGA-PBEsol level.

Cell lengths 2.752, 4.535, 4.817 Å; angles 90.00, 90.00, 92.65 degrees
Atoms (fractional coordinates):
Li (0.200, 0.267, 0.000)
Li (0.800, 0.733, 0.000)
Rh (0.000, 0.500, 0.500)
Ta (0.500, 0.000, 0.500)

Energy above the most stable polymorph in this dataset, eV/atom: 0.0000
E_form, kJ/mol of atoms: 5

# 5
Below is an optimized crystal structure of Li2TaRh, with properties calculated at the GGA-PBEsol level.

Cell lengths 2.643, 2.643, 9.459 Å; angles 90.00, 90.00, 114.67 degrees
Atoms (fractional coordinates):
Li (0.000, 0.000, 0.278)
Li (0.000, 0.000, 0.722)
Ta (0.500, 0.500, 0.000)
Rh (0.500, 0.500, 0.500)

Energy above the most stable polymorph in this dataset, eV/atom: 0.1216
E_form, kJ/mol of atoms: 17

# 6
Below is an optimized crystal structure of LiTaRh, with properties calculated at the GGA-PBEsol level.

Cell lengths 4.168, 4.168, 4.168 Å; angles 60.00, 60.00, 60.00 degrees
Atoms (fractional coordinates):
Rh (0.500, 0.500, 0.500)
Li (0.000, 0.000, 0.000)
Ta (0.250, 0.250, 0.250)

E_form, kJ/mol of atoms: 51

# 7
Below is an optimized crystal structure of Li2TaRh, with properties calculated at the GGA-PBEsol level.

Cell lengths 3.211, 3.211, 5.169 Å; angles 90.00, 90.00, 90.00 degrees
Atoms (fractional coordinates):
Rh (0.500, 0.500, 0.000)
Li (0.000, 0.000, 0.216)
Ta (0.500, 0.500, 0.500)
Li (0.000, 0.000, 0.784)

Energy above the most stable polymorph in this dataset, eV/atom: 0.2300
E_form, kJ/mol of atoms: 27

# 8
Below is an optimized crystal structure of Li2TcRh, with properties calculated at the GGA-PBEsol level.

Cell lengths 2.549, 4.319, 4.856 Å; angles 90.00, 90.00, 90.00 degrees
Atoms (fractional coordinates):
Li (0.000, 0.000, 0.754)
Li (0.000, 0.000, 0.246)
Tc (0.500, 0.500, 0.500)
Rh (0.500, 0.500, 0.000)

Energy above the most stable polymorph in this dataset, eV/atom: 0.0286
E_form, kJ/mol of atoms: 21

# 9
Below is an optimized crystal structure of LiTc2Rh, with properties calculated at the GGA-PBEsol level.

Cell lengths 4.214, 4.214, 4.214 Å; angles 60.00, 60.00, 60.00 degrees
Atoms (fractional coordinates):
Li (0.000, 0.000, 0.000)
Tc (0.750, 0.750, 0.750)
Rh (0.500, 0.500, 0.500)
Tc (0.250, 0.250, 0.250)

E_form, kJ/mol of atoms: 46

# 10
Below is an optimized crystal structure of Li2TcRh, with properties calculated at the GGA-PBEsol level.

Cell lengths 2.490, 2.490, 8.648 Å; angles 90.00, 90.00, 90.00 degrees
Atoms (fractional coordinates):
Rh (0.500, 0.500, 0.000)
Li (0.000, 0.000, 0.238)
Tc (0.500, 0.500, 0.500)
Li (0.000, 0.000, 0.762)

Energy above the most stable polymorph in this dataset, eV/atom: 0.0000
E_form, kJ/mol of atoms: 18

# 11
Below is an optimized crystal structure of LiTcRh2, with properties calculated at the GGA-PBEsol level.

Cell lengths 3.393, 3.933, 3.933 Å; angles 90.00, 90.00, 90.00 degrees
Atoms (fractional coordinates):
Rh (0.000, 0.500, 0.000)
Rh (0.000, 0.000, 0.500)
Tc (0.500, 0.500, 0.500)
Li (0.500, 0.000, 0.000)

Energy above the most stable polymorph in this dataset, eV/atom: 0.2333
E_form, kJ/mol of atoms: 14

# 12
Below is an optimized crystal structure of LiTcRh2, with properties calculated at the GGA-PBEsol level.

Cell lengths 2.773, 2.773, 6.640 Å; angles 90.00, 90.00, 90.00 degrees
Atoms (fractional coordinates):
Li (0.500, 0.500, 0.500)
Rh (0.000, 0.000, 0.738)
Tc (0.500, 0.500, 0.000)
Rh (0.000, 0.000, 0.262)

Energy above the most stable polymorph in this dataset, eV/atom: 0.0000
E_form, kJ/mol of atoms: -9

Number 1: Fermi-level density of states 0.38 states/eV per atom. Number 2: Fermi-level density of states 0.70 states/eV per atom. Number 3: Fermi-level density of states 0.73 states/eV per atom. Number 4: Fermi-level density of states 0.65 states/eV per atom. Number 5: Fermi-level density of states 0.87 states/eV per atom. Number 6: Fermi-level density of states 0.97 states/eV per atom. Number 7: Fermi-level density of states 0.62 states/eV per atom. Number 8: Fermi-level density of states 0.91 states/eV per atom. Number 9: Fermi-level density of states 1.68 states/eV per atom. Number 10: Fermi-level density of states 0.79 states/eV per atom. Number 11: Fermi-level density of states 1.18 states/eV per atom. Number 12: Fermi-level density of states 0.67 states/eV per atom.